A plane-wave DFT calculation with PBE was carried out for CuAsPbSe2 after structural relaxation.

As for the uncorrected formation energy: 5.35 eV per formula unit. The value obtained for the relative energy among the computed polymorphs is 886 meV/atom. The density of states at the Fermi level is 4.297 states/eV/cell. As for the crystal system: tetragonal. The magnetization comes out at 0.27 μB/atom. The density is 5.07 g cm⁻³.

It has space group P4/mmm (No. 123), with a = 5.502 Å, b = 5.502 Å, c = 5.451 Å, α = 90.00°, β = 90.00° and γ = 90.00°. The asymmetric unit holds Cu at (0.000, 0.000, 0.000), As at (0.500, 0.500, 0.000), Pb at (0.500, 0.500, 0.500) and Se at (0.000, 0.500, 0.500).